# 1
VASP calculation (GGA-PBE) on an optimized crystal structure of RbSr3Pd.

Calculated density (Mg/m³): 2.7
Formation energy (eV/atom): 0.024
Crystal system: tetragonal
DOS(E_F) (states/eV/cell): 4.800
E above lowest polymorph (meV per atom): 274

a = 8.3351 Å, b = 8.3351 Å, c = 9.9580 Å
α = 65.26°, β = 65.26°, γ = 90.00°
Positions (direct):
Sr 0.1228 0.8739 0.2522
Sr 0.1261 0.8772 0.7478
Sr 0.1261 0.3750 0.7478
Sr 0.6250 0.8739 0.2522
Sr 0.3609 0.3609 0.2783
Sr 0.6391 0.6391 0.7217
Rb 0.6119 0.1119 0.7761
Rb 0.8881 0.3881 0.2239
Pd 0.0000 0.0000 0.0000
Pd 0.2500 0.7500 0.5000

***

# 2
VASP calculation (GGA-PBE) on an optimized crystal structure of RbSr3Pd.

Calculated density (Mg/m³): 1.6
Formation energy (eV/atom): 0.416
Crystal system: trigonal
DOS(E_F) (states/eV/cell): 5.825
E above lowest polymorph (meV per atom): 666

a = 9.3108 Å, b = 9.3108 Å, c = 9.3108 Å
α = 52.16°, β = 52.16°, γ = 52.16°
Positions (direct):
Sr 0.8352 0.3121 0.8352
Sr 0.3121 0.8352 0.8352
Sr 0.8352 0.8352 0.3121
Rb 0.8229 0.8229 0.8229
Pd 0.0696 0.0696 0.0696

***

# 3
VASP calculation (GGA-PBE) on an optimized crystal structure of RbSr3Pd.

Calculated density (Mg/m³): 3.0
Formation energy (eV/atom): -0.075
Crystal system: orthorhombic
DOS(E_F) (states/eV/cell): 15.966
E above lowest polymorph (meV per atom): 175

a = 8.1198 Å, b = 10.1235 Å, c = 12.4006 Å
α = 90.00°, β = 90.00°, γ = 90.00°
Positions (direct):
Sr 0.0213 0.9373 0.8594
Sr 0.4787 0.4373 0.3594
Sr 0.4787 0.0627 0.3594
Sr 0.9787 0.4373 0.1406
Sr 0.9787 0.0627 0.1406
Sr 0.5213 0.5627 0.6406
Sr 0.5213 0.9373 0.6406
Sr 0.0213 0.5627 0.8594
Sr 0.2609 0.2500 0.7327
Sr 0.2391 0.7500 0.2327
Sr 0.7391 0.7500 0.2673
Sr 0.7609 0.2500 0.7673
Rb 0.0000 0.0000 0.5000
Rb 0.5000 0.5000 0.0000
Rb 0.5000 0.0000 0.0000
Rb 0.0000 0.5000 0.5000
Pd 0.5350 0.2500 0.5638
Pd 0.9650 0.7500 0.0638
Pd 0.4650 0.7500 0.4362
Pd 0.0350 0.2500 0.9362

***

# 4
VASP calculation (GGA-PBE) on an optimized crystal structure of RbSr3Pd.

Calculated density (Mg/m³): 2.7
Formation energy (eV/atom): -0.207
Crystal system: trigonal
DOS(E_F) (states/eV/cell): 7.592
E above lowest polymorph (meV per atom): 43

a = 12.1637 Å, b = 12.1637 Å, c = 12.1637 Å
α = 36.44°, β = 36.44°, γ = 36.44°
Positions (direct):
Sr 0.3872 0.0523 0.7083
Sr 0.0523 0.7083 0.3872
Sr 0.2917 0.6128 0.9477
Sr 0.9477 0.2917 0.6128
Sr 0.6128 0.9477 0.2917
Sr 0.7083 0.3872 0.0523
Rb 0.1669 0.1669 0.1669
Rb 0.8331 0.8331 0.8331
Pd 0.3324 0.3324 0.3324
Pd 0.6676 0.6676 0.6676